A relaxed Rb3CePm3O8 crystal. Source: the Alexandria database, functional GGA-PBE.

Lattice parameters (Å, degrees): 7.2193 7.2193 19.9884 90.00 90.00 120.00
Space group R-3m (No. 166, hexagonal axes)
Asymmetric unit:
Rb1 0.0000 0.5000 0.0000 x9
Ce1 0.0000 0.0000 0.5000 x3
Pm1 0.0000 0.5000 0.5000 x9
O1 0.0000 0.0000 0.2251 x6
O2 0.0151 0.5075 0.2225 x18

***

A relaxed Rb2CePmO4 crystal. Source: the Alexandria database, functional GGA-PBE.

Lattice parameters (Å, degrees): 6.329 3.656 6.926 90.00 107.77 90.00
Space group P2/m (No. 10)
Asymmetric unit:
Rb1 0.000 0.000 0.000 x1
Rb2 0.500 0.500 0.000 x1
Ce1 0.000 0.500 0.500 x1
Pm1 0.500 0.000 0.500 x1
O1 0.226 0.000 0.678 x2
O2 0.273 0.500 0.322 x2

***

A relaxed Rb3CePm2O6 crystal. Source: the Alexandria database, functional GGA-PBE.

Lattice parameters (Å, degrees): 6.319 10.945 6.925 90.00 107.71 90.00
Space group C2/m (No. 12)
Asymmetric unit:
Rb1 0.000 0.000 0.000 x2
Rb2 0.000 0.333 0.000 x4
Ce1 0.000 0.500 0.500 x2
Pm1 0.000 0.167 0.500 x4
O1 0.226 0.334 0.679 x8
O2 0.227 0.000 0.679 x4

***

Computed energy relative to the elements, uncorrected (eV/atom) in order:
-2.7633, -2.5636, -2.5730